Compound: ErScAl4
Source: Alexandria
Functional: GGA-PBE
Structure: optimized geometry

Lattice parameters (Å, degrees): 5.4481 5.4481 5.4481 60.00 60.00 60.00
Fractional positions:
Al1 0.6251 0.6251 0.6251
Al2 0.1247 0.6251 0.6251
Al3 0.6251 0.1247 0.6251
Er1 0.2500 0.2500 0.2500
Al4 0.6251 0.6251 0.1247
Sc1 0.0000 0.0000 0.0000

As for the symmetry: No. 216. The energy of formation comes out at -0.491 eV/atom. The magnetization is 0.00 μB per cell.